Entry 1:
5
Lattice="5.888 0.000 0.000 0.000 5.888 0.000 0.000 0.000 6.265" Properties=species:S:1:pos:R:3 comment="SbTeAsI2 (PBE-GGA, relaxed)" sg="P4/mmm (123)" formation_energy_uncorrected_ev_per_atom=0.76 pbc="T T T"
As 2.944 2.944 3.132
Te 0.000 0.000 0.000
Sb 0.000 0.000 3.132
I 2.944 0.000 0.000
I 0.000 2.944 0.000

Entry 2:
5
Lattice="5.748 0.000 0.000 0.000 5.748 0.000 0.000 0.000 5.979" Properties=species:S:1:pos:R:3 comment="SbTe2AsI (PBE-GGA, relaxed)" sg="P4/mmm (123)" formation_energy_uncorrected_ev_per_atom=1.25 pbc="T T T"
Sb 0.000 0.000 2.990
I 0.000 0.000 0.000
Te 2.874 0.000 0.000
Te 0.000 2.874 0.000
As 2.874 2.874 2.990

Entry 3:
5
Lattice="5.551 0.000 0.000 0.000 5.551 0.000 0.000 0.000 5.378" Properties=species:S:1:pos:R:3 comment="Sb2TeAsI (PBE-GGA, relaxed)" sg="P4/mmm (123)" formation_energy_uncorrected_ev_per_atom=0.58 pbc="T T T"
Sb 2.775 0.000 0.000
As 0.000 0.000 0.000
Sb 0.000 2.775 0.000
I 0.000 0.000 2.689
Te 2.775 2.775 2.689

Entry 4:
5
Lattice="5.821 0.000 0.000 0.000 5.821 0.000 0.000 0.000 5.603" Properties=species:S:1:pos:R:3 comment="Sb2TeAsI (PBE-GGA, relaxed)" sg="P4/mmm (123)" formation_energy_uncorrected_ev_per_atom=1.32 pbc="T T T"
As 2.910 2.910 2.802
I 0.000 0.000 0.000
Sb 2.910 0.000 0.000
Sb 0.000 2.910 0.000
Te 0.000 0.000 2.802

Entry 5:
5
Lattice="5.536 0.000 0.000 0.000 5.536 0.000 0.000 0.000 5.409" Properties=species:S:1:pos:R:3 comment="SbTe2AsI (PBE-GGA, relaxed)" sg="P4/mmm (123)" formation_energy_uncorrected_ev_per_atom=0.48 pbc="T T T"
Te 2.768 0.000 0.000
Te 0.000 2.768 0.000
I 0.000 0.000 2.705
As 0.000 0.000 0.000
Sb 2.768 2.768 2.705

Entry 6:
5
Lattice="-2.686 -3.722 -3.021 1.617 -3.963 3.446 -4.537 0.800 3.049" Properties=species:S:1:pos:R:3 comment="SbTe2AsI (PBE-GGA, relaxed)" sg="P4/mmm (123)" formation_energy_uncorrected_ev_per_atom=0.51 pbc="T T T"
Te 0.808 -1.982 1.723
As 0.000 0.000 0.000
Sb -2.269 0.400 1.524
Te -1.343 -1.861 -1.510
I -2.803 -3.443 1.737

Entry 7:
5
Lattice="5.481 0.000 0.000 0.000 5.481 0.000 0.000 0.000 5.615" Properties=species:S:1:pos:R:3 comment="TiSbAsI2 (PBE-GGA, relaxed)" sg="P4/mmm (123)" formation_energy_uncorrected_ev_per_atom=0.84 pbc="T T T"
I 2.740 0.000 0.000
As 0.000 0.000 0.000
I 0.000 2.740 0.000
Sb 0.000 0.000 2.807
Ti 2.740 2.740 2.807

Entry 8:
5
Lattice="-5.155 -0.866 -0.940 -0.731 -1.209 5.120 -1.143 5.555 1.148" Properties=species:S:1:pos:R:3 comment="TiSbAsI2 (PBE-GGA, relaxed)" sg="P4/mmm (123)" formation_energy_uncorrected_ev_per_atom=0.33 pbc="T T T"
As -3.514 1.740 2.664
Ti 0.000 0.000 0.000
Sb -0.571 2.778 0.574
I -2.578 -0.433 -0.470
I -0.365 -0.604 2.560